LiPuS after structural relaxation. Source: Alexandria via LeMat-Bulk, functional PBE.

Computed properties:
- formation energy (no corrections) (meV/atom) = -920.3
- total magnetic moment (μB/atom) = 2.30
- crystal system = hexagonal
- mass density (g/cm3) = 8.5

Cell: 4.0156 4.0156 3.9427 Å, 90.00 90.00 120.00°
Last column: nearest neighbours and their distance in Å.
Space group P-6m2 (No. 187)
Symmetry-distinct sites (fractional):
1 Li 0.0000 0.0000 0.0000 [1 per cell]  3 S 2.32
2 Pu 0.3333 0.6667 0.5000 [1 per cell]  6 Li 3.04, 6 S 3.04
3 S 0.6667 0.3333 0.0000 [1 per cell]  3 Li 2.32